First-principles (PBE with a Hubbard U) data for a geometry-optimized Mn2SeF structure, as listed in Alexandria. Values from VASP.

Computed properties:
SG ... Fm-3m, No. 225
Theoretical density ... 5.34 g/cm3
DOS(E_F) ... 1.024 states/eV per atom
E_tot ... -5.764 eV/atom
Energy above the most stable polymorph in this dataset ... 182.3 meV/atom

```
&SYSTEM
  ibrav = 0, nat = 4, ntyp = 3
/
ATOMIC_SPECIES
Mn 54.94 Mn.upf
Se 78.96 Se.upf
F 19.00 F.upf
CELL_PARAMETERS angstrom
0.0000 3.1859 3.1859
3.1859 0.0000 3.1859
3.1859 3.1859 0.0000
ATOMIC_POSITIONS crystal
Mn 0.2500 0.2500 0.2500
Mn 0.7500 0.7500 0.7500
Se 0.5000 0.5000 0.5000
F 0.0000 0.0000 0.0000
```